No. 1
The following is a PBE-GGA calculation of crystalline CeLuMnCd at its relaxed geometry, from Alexandria.

Lattice parameters (Å, degrees): 5.1259 5.1259 5.1259 60.00 60.00 60.00
Positions (direct):
Ce 0.0000 0.0000 0.0000
Lu 0.5000 0.5000 0.5000
Mn 0.2500 0.2500 0.2500
Cd 0.7500 0.7500 0.7500

Computed properties:
Energy relative to the elements   3.8 kJ per mole of atoms


No. 2
The following is a PBE-GGA calculation of crystalline CeNdLuCd at its relaxed geometry, from Alexandria.

Lattice parameters (Å, degrees): 5.4898 5.4898 5.4898 60.00 60.00 60.00
Positions (direct):
Ce 0.0000 0.0000 0.0000
Nd 0.5000 0.5000 0.5000
Lu 0.2500 0.2500 0.2500
Cd 0.7500 0.7500 0.7500

Computed properties:
Energy relative to the elements   0.7 kJ per mole of atoms


No. 3
The following is a PBE-GGA calculation of crystalline CeLuCdNi at its relaxed geometry, from Alexandria.

Lattice parameters (Å, degrees): 5.0613 5.0613 5.0613 60.00 60.00 60.00
Positions (direct):
Ce 0.0000 0.0000 0.0000
Lu 0.5000 0.5000 0.5000
Cd 0.2500 0.2500 0.2500
Ni 0.7500 0.7500 0.7500

Computed properties:
Energy relative to the elements   -15.6 kJ per mole of atoms


No. 4
The following is a PBE-GGA calculation of crystalline CeLuPaCd at its relaxed geometry, from Alexandria.

Lattice parameters (Å, degrees): 5.2777 5.2777 5.2777 60.00 60.00 60.00
Positions (direct):
Ce 0.0000 0.0000 0.0000
Lu 0.5000 0.5000 0.5000
Pa 0.2500 0.2500 0.2500
Cd 0.7500 0.7500 0.7500

Computed properties:
Energy relative to the elements   22.2 kJ per mole of atoms


No. 5
The following is a PBE-GGA calculation of crystalline CeLuCdPd at its relaxed geometry, from Alexandria.

Lattice parameters (Å, degrees): 5.1404 5.1404 5.1404 60.00 60.00 60.00
Positions (direct):
Ce 0.0000 0.0000 0.0000
Lu 0.5000 0.5000 0.5000
Cd 0.7500 0.7500 0.7500
Pd 0.2500 0.2500 0.2500

Computed properties:
Energy relative to the elements   -40.9 kJ per mole of atoms


No. 6
The following is a PBE-GGA calculation of crystalline CePrLuCd at its relaxed geometry, from Alexandria.

Lattice parameters (Å, degrees): 5.5069 5.5069 5.5069 60.00 60.00 60.00
Positions (direct):
Ce 0.0000 0.0000 0.0000
Pr 0.5000 0.5000 0.5000
Lu 0.2500 0.2500 0.2500
Cd 0.7500 0.7500 0.7500

Computed properties:
Energy relative to the elements   0.9 kJ per mole of atoms


No. 7
The following is a PBE-GGA calculation of crystalline CeLuCdRh at its relaxed geometry, from Alexandria.

Lattice parameters (Å, degrees): 5.0700 5.0700 5.0700 60.00 60.00 60.00
Positions (direct):
Ce 0.0000 0.0000 0.0000
Lu 0.5000 0.5000 0.5000
Cd 0.7500 0.7500 0.7500
Rh 0.2500 0.2500 0.2500

Computed properties:
Energy relative to the elements   -40.8 kJ per mole of atoms


No. 8
The following is a PBE-GGA calculation of crystalline CeLuCdSi at its relaxed geometry, from Alexandria.

Lattice parameters (Å, degrees): 5.1144 5.1144 5.1144 60.00 60.00 60.00
Positions (direct):
Ce 0.0000 0.0000 0.0000
Lu 0.5000 0.5000 0.5000
Cd 0.7500 0.7500 0.7500
Si 0.2500 0.2500 0.2500

Computed properties:
Formation energy without anion corrections   -0.31 eV per atom


Calculated E in order - -20.38; -16.11; -17.80; -19.94; -18.26; -16.11; -20.41; -18.05 eV for the cell shown
Calculated V in order - 23.809; 29.248; 22.919; 25.987; 24.011; 29.521; 23.039; 23.649 Å³/atom